(1)
Computed, not measured: a relaxed PmEr7Sc3 crystal at the GGA-PBE level of DFT.

Summary:
Energy above the most stable polymorph in this dataset: 0.00 eV/f.u.
Formation energy from the elements: 0.16 eV per atom

Cell lengths 6.672, 17.967, 10.897 Å; angles 90.00, 90.66, 90.00 degrees
Space group C2/m (No. 12)
One atom of each set of equivalent atoms:
Pm (0.000, 0.000, 0.000) x2
Pm (0.000, 0.500, 0.500) x2
Er (0.248, 0.000, 0.750) x4
Er (0.248, 0.163, 0.537) x8
Er (0.248, 0.337, 0.037) x8
Er (0.248, 0.408, 0.750) x8
Sc (0.000, 0.000, 0.500) x2
Sc (0.000, 0.500, 0.000) x2
Sc (0.001, 0.249, 0.250) x8



(2)
Computed, not measured: a relaxed Be3PbBr crystal at the GGA-PBE level of DFT.

Summary:
Energy above the most stable polymorph in this dataset: 1.16 eV/f.u.

Cell lengths 4.558, 4.558, 4.558 Å; angles 90.00, 90.00, 90.00 degrees
Space group Pm-3m (No. 221)
One atom of each set of equivalent atoms:
Be (0.000, 0.000, 0.500) x3
Pb (0.500, 0.500, 0.500) x1
Br (0.000, 0.000, 0.000) x1



(3)
Computed, not measured: a relaxed CaMoRh4 crystal at the GGA-PBE level of DFT.

Summary:
Formation energy from the elements: 0.04 eV per atom

Cell lengths 7.350, 7.350, 7.350 Å; angles 90.00, 90.00, 90.00 degrees
Space group F-43m (No. 216)
One atom of each set of equivalent atoms:
Ca (0.000, 0.000, 0.000) x4
Mo (0.250, 0.250, 0.750) x4
Rh (0.125, 0.125, 0.375) x16



(4)
Computed, not measured: a relaxed Nd2Si3Ni12Rh crystal at the GGA-PBE level of DFT.

Summary:
DFT total energy: -308.38 eV for the cell shown

Cell lengths 8.5700, 8.5700, 11.8035 Å; angles 90.00, 90.00, 120.00 degrees
Space group R-3m (No. 166, hexagonal axes)
One atom of each set of equivalent atoms:
Nd (0.0000, 0.0000, 0.1655) x6
Si (0.0000, 0.5000, 0.0000) x9
Ni (0.0075, 0.5037, 0.1933) x18
Ni (0.0087, 0.5044, 0.3905) x18
Rh (0.0000, 0.0000, 0.5000) x3



(5)
Computed, not measured: a relaxed NdSbI crystal at the GGA-PBE level of DFT.

Summary:
Energy above the most stable polymorph in this dataset: 0.00 eV/f.u.

Cell lengths 18.2077, 18.2077, 7.7757 Å; angles 90.00, 90.00, 120.00 degrees
Space group R-3 (No. 148, hexagonal axes)
One atom of each set of equivalent atoms:
Nd (0.0465, 0.4639, 0.2472) x18
Sb (0.0147, 0.6176, 0.3707) x18
I (0.0701, 0.8847, 0.2705) x18



(6)
Computed, not measured: a relaxed CuH8C2Br3NO crystal at the GGA-PBE level of DFT.

Summary:
DFT total energy: -148.95 eV for the cell shown

Cell lengths 6.529, 8.409, 9.031 Å; angles 69.63, 80.19, 76.16 degrees
Space group P-1 (No. 2)
One atom of each set of equivalent atoms:
Cu (0.241, 0.436, 0.104) x2
H (0.053, 0.855, 0.209) x2
H (0.120, 0.817, 0.559) x2
H (0.171, 0.042, 0.115) x2
H (0.171, 0.889, 0.766) x2
H (0.174, 0.657, 0.475) x2
H (0.349, 0.981, 0.358) x2
H (0.365, 0.696, 0.552) x2
H (0.424, 0.811, 0.272) x2
C (0.111, 0.958, 0.230) x2
C (0.293, 0.880, 0.333) x2
Br (0.126, 0.409, 0.867) x2
Br (0.281, 0.387, 0.381) x2
Br (0.417, 0.743, 0.945) x2
N (0.231, 0.755, 0.490) x2
O (0.058, 0.944, 0.693) x2



(7)
Computed, not measured: a relaxed Na4Pu3BeSe8 crystal at the GGA-PBE level of DFT.

Summary:
DFT total energy: -196.22 eV for the cell shown

Cell lengths 14.423, 8.167, 8.376 Å; angles 90.00, 124.25, 90.00 degrees
Space group C2/m (No. 12)
One atom of each set of equivalent atoms:
Na (0.000, 0.000, 0.000) x2
Na (0.000, 0.500, 0.000) x2
Na (0.250, 0.250, 0.000) x4
Pu (0.000, 0.000, 0.500) x2
Pu (0.250, 0.250, 0.500) x4
Be (0.000, 0.500, 0.500) x2
Se (0.007, 0.281, 0.296) x8
Se (0.244, 0.000, 0.734) x4
Se (0.245, 0.000, 0.260) x4



(8)
Computed, not measured: a relaxed RbAl2SnS6 crystal at the GGA-PBE level of DFT.

Summary:
DFT total energy: -177.36 eV for the cell shown

Cell lengths 12.319, 14.408, 7.349 Å; angles 90.00, 113.90, 90.00 degrees
Space group C2/c (No. 15)
One atom of each set of equivalent atoms:
Rb (0.000, 0.102, 0.250) x4
Al (0.168, 0.420, 0.076) x8
Sn (0.000, 0.209, 0.750) x4
S (0.079, 0.283, 0.071) x8
S (0.114, 0.467, 0.752) x8
S (0.138, 0.089, 0.726) x8